[1]
! Na3SrFe (PBE, optimized geometry); values from VASP
&SYSTEM
  ibrav = 0, nat = 5, ntyp = 3
/
ATOMIC_SPECIES
Na 22.99 Na.upf
Sr 87.62 Sr.upf
Fe 55.84 Fe.upf
CELL_PARAMETERS angstrom
-0.743 -5.729 -3.238
1.498 -3.320 5.531
-6.408 -0.112 1.668
ATOMIC_POSITIONS crystal
Na 0.500 0.000 0.000
Na 0.000 0.500 0.000
Sr 0.000 0.000 0.000
Fe 0.500 0.500 0.500
Na 0.000 0.000 0.500
! - Distance to the lowest polymorph of the same formula: 343 kJ/mol of formula units
! - SG: No. 221



[2]
! Ba2Ga4Ir (PBE, optimized geometry); values from VASP
&SYSTEM
  ibrav = 0, nat = 7, ntyp = 3
/
ATOMIC_SPECIES
Ba 137.33 Ba.upf
Ga 69.72 Ga.upf
Ir 192.22 Ir.upf
CELL_PARAMETERS angstrom
-4.916 -1.477 3.190
-2.069 -3.216 -4.679
6.092 -2.134 2.676
ATOMIC_POSITIONS crystal
Ba 0.250 0.750 0.500
Ga 0.285 0.715 0.000
Ga 0.715 0.715 0.000
Ga 0.285 0.285 0.000
Ir 0.000 0.000 0.000
Ba 0.750 0.250 0.500
Ga 0.715 0.285 0.000
! - Distance to the lowest polymorph of the same formula: 60 kJ/mol of formula units
! - SG: No. 139



no.,formation enthalpy at 0 K (eV/atom),final energy (eV/atom)
1,1.38,-1.441
2,-0.30,-3.841